Entry 1:
Entry from Alexandria via LeMat-Bulk: MgCd2Mo after structural relaxation (GGA-PBE).

The calculation puts the size of the total moment at 0.00 μB/atom. As for the raw total energy: -0.246 Ry per atom. The formation enthalpy at 0 K comes out at 220.1 meV per atom. As for the calculated volume: 19.2 A^3/atom.

Lattice parameters (Å, degrees): 2.8839 2.8839 9.4050 90.00 90.00 100.69
With the nearest neighbours (Å) after each atom.
Element x y z (fractional)
1 Mo 0.5000 0.5000 0.7448  4 Mg 2.83-3.09, 4 Mo 2.88, 4 Cd 2.91-3.17
2 Cd 0.5000 0.5000 0.2545  6 Cd 2.88-3.13, 2 Mg 3.07
3 Cd 0.0000 0.0000 0.9848  6 Cd 2.88-3.13, 4 Mo 2.91-3.17
4 Mg 0.0000 0.0000 0.5159  4 Mo 2.83-3.09, 4 Mg 2.88, 2 Cd 3.07

***

Entry 2:
Entry from Alexandria via LeMat-Bulk: CdHg2Sb after structural relaxation (GGA-PBE).

The calculation puts the size of the total moment at 0.00 μB/atom. As for the raw total energy: -0.096 Ry per atom. As for the calculated volume: 25.6 A^3/atom. The formation energy (no corrections) is 102 meV per atom.

Lattice parameters (Å, degrees): 3.3738 3.3738 9.3142 90.00 90.00 105.20
With the nearest neighbours (Å) after each atom.
Element x y z (fractional)
1 Hg 0.0000 0.0000 0.5124  2 Cd 3.02, 2 Sb 3.19, 4 Hg 3.37
2 Hg 0.0000 0.0000 0.9876  2 Cd 3.02, 2 Sb 3.19, 4 Hg 3.37
3 Cd 0.5000 0.5000 0.7500  4 Hg 3.02, 4 Cd 3.37
4 Sb 0.5000 0.5000 0.2500  4 Hg 3.19, 4 Sb 3.37

***

Entry 3:
Entry from Alexandria via LeMat-Bulk: Ho2Co3CuGe4 after structural relaxation (GGA-PBE).

The calculation puts the size of the total moment at 0.08 μB/atom. As for the raw total energy: -0.429 Ry per atom. The formation enthalpy at 0 K comes out at -530.9 meV per atom. As for the calculated volume: 16.1 A^3/atom.

Lattice parameters (Å, degrees): 4.0572 4.0572 9.7728 90.00 90.00 90.00
With the nearest neighbours (Å) after each atom.
Element x y z (fractional)
1 Co 0.0000 0.5000 0.1252  5 Ge 2.31-2.37
2 Co 0.5000 0.0000 0.8748  5 Ge 2.31-2.37
3 Co 0.0000 0.0000 0.5000  4 Ge 2.44
4 Cu 0.5000 0.5000 0.5000  4 Ge 2.44
5 Ge 0.5000 0.5000 0.0000  4 Co 2.37
6 Ge 0.0000 0.5000 0.3613  3 Co 2.31-2.44, 2 Cu 2.44
7 Ge 0.0000 0.0000 0.0000  4 Co 2.37
8 Ge 0.5000 0.0000 0.6387  3 Co 2.31-2.44, 2 Cu 2.44
9 Ho 0.0000 0.5000 0.7564  8 Ge 3.09-3.13, 6 Co 3.09-3.22, 2 Cu 3.22
10 Ho 0.5000 0.0000 0.2436  8 Ge 3.09-3.13, 6 Co 3.09-3.22, 2 Cu 3.22